A relaxed structure of Ca2MnMoO6, computed with GGA+U.

Calculated density = 3909 kg/m3
Space group = No. 99
Energy = -69.8 eV/f.u.

Cell: 5.4635 5.4635 4.6545 Å, 90.00 90.00 90.00°
Element x y z (fractional)
Ca1 0.0000 0.5000 0.0000
Ca2 0.5000 0.0000 0.0000
Mn1 0.0000 0.0000 0.5774
Mo1 0.5000 0.5000 0.5839
O1 0.0000 0.0000 0.1476
O2 0.2643 0.2643 0.6977
O3 0.2643 0.7357 0.6977
O4 0.5000 0.5000 0.1916
O5 0.7357 0.2643 0.6977
O6 0.7357 0.7357 0.6977